Below is an optimized crystal structure of PmCr2PO8, with properties calculated at the GGA+U level.

Output
Crystal system   monoclinic
Total magnetic moment   4.000 μB/f.u.
SG   C2/m
DFT total energy   -7.296 eV/atom

a b c (Å): 4.658 4.661 6.586
angles (deg): 82.35 82.36 77.33
Element x y z (fractional)
Pm  0.000  0.000  0.500
Cr  0.427  0.427  0.748
Cr  0.573  0.573  0.252
P  0.000  0.000  0.000
O  0.201  0.781  0.198
O  0.771  0.773  0.034
O  0.782  0.201  0.198
O  0.799  0.219  0.802
O  0.229  0.227  0.966
O  0.218  0.799  0.802
O  0.670  0.671  0.486
O  0.330  0.329  0.514